An optimized crystal structure of BaLi2Sm2Ge2, computed with GGA-PBE.

- Magnetic moment: 0.000 μB/f.u.
- Space group: R-3m, No. 166
- Crystal system: trigonal
- Raw total energy: -3.968 eV/atom
- ΔE_f: -3.351 eV/f.u.
- V: 26.70 Å³ per atom

Cell lengths 4.728, 4.728, 10.032 Å; angles 76.37, 76.37, 60.00 degrees
Sites, in units of the cell vectors:
Ba  0.000  0.000  0.000
Li  0.582  0.582  0.255
Li  0.418  0.418  0.745
Sm  0.131  0.131  0.607
Sm  0.869  0.869  0.393
Ge  0.752  0.752  0.743
Ge  0.248  0.248  0.257

An optimized crystal structure of BaSr2Li2Ge2, computed with GGA-PBE.

- Magnetic moment: 0.000 μB/f.u.
- Space group: R-3m, No. 166
- Crystal system: trigonal
- Raw total energy: -3.045 eV/atom
- ΔE_f: -2.969 eV/f.u.
- V: 30.40 Å³ per atom

Cell lengths 4.932, 4.932, 10.496 Å; angles 76.41, 76.41, 60.00 degrees
Sites, in units of the cell vectors:
Ba  0.000  0.000  0.000
Sr  0.126  0.126  0.622
Sr  0.874  0.874  0.378
Li  0.594  0.594  0.218
Li  0.406  0.406  0.782
Ge  0.747  0.747  0.760
Ge  0.253  0.253  0.240

An optimized crystal structure of BaSr2LiGe, computed with GGA-PBE.

- Magnetic moment: 0.000 μB/f.u.
- Space group: P4/mmm, No. 123
- Crystal system: tetragonal
- Raw total energy: -2.498 eV/atom
- ΔE_f: -0.672 eV/f.u.
- V: 49.88 Å³ per atom

Cell lengths 6.167, 6.167, 6.558 Å; angles 90.00, 90.00, 90.00 degrees
Sites, in units of the cell vectors:
Sr  0.000  0.500  0.000
Sr  0.500  0.000  0.000
Ge  0.000  0.000  0.000
Ba  0.000  0.000  0.500
Li  0.500  0.500  0.500

An optimized crystal structure of BaLiTa2Ge, computed with GGA-PBE.

- Magnetic moment: 2.078 μB/f.u.
- Space group: P4/mmm, No. 123
- Crystal system: tetragonal
- Raw total energy: -5.397 eV/atom
- ΔE_f: 5.177 eV/f.u.
- V: 29.80 Å³ per atom

Cell lengths 4.935, 6.118, 4.935 Å; angles 90.00, 90.00, 90.00 degrees
Last column: magnetic moment on the atom in μB.
Sites, in units of the cell vectors:
Ge  0.000  0.000  0.000  0.00
Li  0.500  0.500  0.500  -0.01
Ba  0.000  0.500  0.000  0.05
Ta  0.000  0.000  0.500  0.56
Ta  0.500  0.000  0.000  0.61

An optimized crystal structure of Ba2LiTaGe, computed with GGA-PBE.

- Magnetic moment: 4.185 μB/f.u.
- Space group: P4/mmm, No. 123
- Crystal system: tetragonal
- Raw total energy: -3.624 eV/atom
- ΔE_f: 4.111 eV/f.u.
- V: 38.59 Å³ per atom

Cell lengths 6.366, 4.761, 6.366 Å; angles 90.00, 90.00, 90.00 degrees
Last column: magnetic moment on the atom in μB.
Sites, in units of the cell vectors:
Ge  0.000  0.000  0.000  0.12
Li  0.000  0.500  0.000  0.01
Ba  0.000  0.000  0.500  -0.08
Ba  0.500  0.000  0.000  -0.09
Ta  0.500  0.500  0.500  -2.26

An optimized crystal structure of Ba2LiTcGe, computed with GGA-PBE.

- Magnetic moment: 1.561 μB/f.u.
- Space group: P4/mmm, No. 123
- Crystal system: tetragonal
- Raw total energy: -3.794 eV/atom
- ΔE_f: 1.772 eV/f.u.
- V: 39.12 Å³ per atom

Cell lengths 6.423, 4.741, 6.423 Å; angles 90.00, 90.00, 90.00 degrees
Last column: magnetic moment on the atom in μB.
Sites, in units of the cell vectors:
Ge  0.000  0.000  0.000  -0.02
Li  0.500  0.500  0.500  -0.01
Ba  0.000  0.000  0.500  -0.01
Ba  0.500  0.000  0.000  -0.01
Tc  0.000  0.500  0.000  1.41

An optimized crystal structure of BaLiTlGe, computed with GGA-PBE.

- Magnetic moment: 0.000 μB/f.u.
- Space group: F-43m, No. 216
- Crystal system: cubic
- Raw total energy: -2.943 eV/atom
- ΔE_f: -0.953 eV/f.u.
- V: 28.90 Å³ per atom

Cell lengths 5.468, 5.468, 5.468 Å; angles 60.00, 60.00, 60.00 degrees
Sites, in units of the cell vectors:
Tl  0.250  0.250  0.250
Ge  0.750  0.750  0.750
Ba  0.500  0.500  0.500
Li  0.000  0.000  0.000

An optimized crystal structure of Ba2LiZn4Ge3, computed with GGA-PBE.

- Magnetic moment: 0.349 μB/f.u.
- Space group: P-4m2, No. 115
- Crystal system: tetragonal
- Raw total energy: -2.828 eV/atom
- ΔE_f: -3.571 eV/f.u.
- V: 22.30 Å³ per atom

Cell lengths 4.541, 4.541, 10.817 Å; angles 90.00, 90.00, 90.00 degrees
Sites, in units of the cell vectors:
Ba  0.500  0.000  0.242
Ba  0.000  0.500  0.758
Li  0.500  0.500  0.500
Zn  0.500  0.500  0.000
Zn  0.000  0.000  0.000
Zn  0.500  0.000  0.627
Zn  0.000  0.500  0.373
Ge  0.000  0.000  0.500
Ge  0.500  0.000  0.870
Ge  0.000  0.500  0.130

- What is the formula in the fourth record?
  BaLiTa2Ge